[1]
Computed, not measured: LiCu4P3O12 after structural relaxation at the GGA-PBE level of DFT.

Computed properties:
- E_form (uncorrected): -30.852 eV/f.u.
- Crystal system: monoclinic
- Energy above the lowest structure with this stoichiometry: 0.001 eV per atom
- Symmetry: No. 15
- Electronic total energy: -6.2439 eV/atom

Cell: 8.6648 8.6648 7.6935 Å, 66.52 66.52 88.11°
Each line ends with the local moment (μB).
Fractional coordinates of all 40 atoms:
Li1 0.9508 0.0492 0.7500  0.00
O1 0.4052 0.0444 0.2438  0.08
P1 0.6605 0.8813 0.5933  0.00
Cu1 0.4901 0.5099 0.2500  -0.43
O2 0.2472 0.8472 0.0595  0.04
O3 0.3051 0.9858 0.6325  0.09
O4 0.1844 0.1691 0.9218  0.08
P2 0.3395 0.1187 0.4067  0.00
Cu2 0.9354 0.6081 0.6726  0.60
O5 0.4639 0.7371 0.2288  -0.01
O6 0.8472 0.2472 0.5595  0.04
O7 0.5948 0.9556 0.7562  0.08
Cu3 0.6081 0.9354 0.1726  0.60
O8 0.2664 0.4821 0.8465  0.03
O9 0.7371 0.4639 0.7288  -0.01
O10 0.1691 0.1844 0.4218  0.08
P3 0.1187 0.3395 0.9067  0.00
P4 0.8813 0.6605 0.0933  0.00
O11 0.9556 0.5948 0.2562  0.08
O12 0.9858 0.3051 0.1325  0.09
O13 0.7528 0.1528 0.9405  0.04
Cu4 0.0646 0.3919 0.3274  0.60
O14 0.5179 0.7336 0.6535  0.03
Li2 0.0492 0.9508 0.2500  0.00
P5 0.7264 0.2736 0.7500  0.01
O15 0.0142 0.6949 0.8675  0.09
O16 0.5361 0.2629 0.7712  -0.01
O17 0.2629 0.5361 0.2712  -0.01
P6 0.2736 0.7264 0.2500  0.01
Cu5 0.7371 0.2629 0.2500  0.59
O18 0.1528 0.7528 0.4405  0.04
O19 0.4821 0.2664 0.3465  0.03
Cu6 0.5099 0.4901 0.7500  -0.43
O20 0.8156 0.8309 0.0782  0.08
O21 0.6949 0.0142 0.3675  0.09
Cu7 0.2629 0.7371 0.7500  0.59
O22 0.0444 0.4052 0.7438  0.08
O23 0.7336 0.5179 0.1535  0.03
Cu8 0.3919 0.0646 0.8274  0.60
O24 0.8309 0.8156 0.5782  0.08


[2]
Computed, not measured: Ho3AlZn2 after structural relaxation at the GGA-PBE level of DFT.

Computed properties:
- Crystal system: tetragonal
- Energy of formation: -365 meV per atom
- Symmetry: No. 123
- Electronic total energy: -3.7024 eV/atom

Cell: 3.5480 3.5480 10.7985 Å, 90.00 90.00 90.00°
Fractional coordinates of all 6 atoms:
Zn1 0.5000 0.5000 0.1634
Ho1 0.0000 0.0000 0.3283
Al1 0.5000 0.5000 0.5000
Ho2 0.0000 0.0000 0.0000
Ho3 0.0000 0.0000 0.6717
Zn2 0.5000 0.5000 0.8366


[3]
Computed, not measured: K3Te2Au after structural relaxation at the GGA-PBE level of DFT.

Computed properties:
- E_form (uncorrected): -4.982 eV/f.u.
- Crystal system: orthorhombic
- Symmetry: No. 72
- Electronic total energy: -2.9725 eV/atom

Cell: 8.0252 9.5212 9.2156 Å, 121.10 115.81 90.00°
Fractional coordinates of all 12 atoms:
K1 0.2057 0.9557 0.4113
K2 0.2057 0.4557 0.4113
K3 0.7943 0.0443 0.5887
K4 0.5000 0.7500 0.0000
K5 0.7943 0.5443 0.5887
Au1 0.0000 0.5000 0.0000
Te1 0.1405 0.8793 0.7586
Te2 0.6182 0.3793 0.7586
Te3 0.3818 0.6207 0.2414
Au2 0.0000 0.0000 0.0000
Te4 0.8595 0.1207 0.2414
K6 0.5000 0.2500 0.0000


[4]
Computed, not measured: K2TcMo after structural relaxation at the GGA-PBE level of DFT.

Computed properties:
- Crystal system: cubic
- Energy above the lowest structure with this stoichiometry: 0.959 eV per atom
- Energy of formation: 1741 meV per atom
- Symmetry: No. 216
- Electronic total energy: -4.1066 eV/atom

Cell: 4.9893 4.9893 4.9893 Å, 119.98 119.98 90.03°
Each line ends with the local moment (μB).
Fractional coordinates of all 4 atoms:
Tc1 0.7500 0.2500 0.5000  -0.81
K1 0.0000 0.0000 0.0000  0.00
K2 0.2500 0.7500 0.5000  0.02
Mo1 0.5000 0.5000 0.0000  1.33


[5]
Computed, not measured: Zn3Ga2Rh2 after structural relaxation at the GGA-PBE level of DFT.

Computed properties:
- Crystal system: monoclinic
- Energy of formation: -406 meV per atom
- Symmetry: No. 12
- Electronic total energy: -3.9174 eV/atom

Cell: 3.5958 4.8184 6.2367 Å, 93.79 90.00 111.91°
Fractional coordinates of all 7 atoms:
Rh1 0.4182 0.8364 0.2806
Ga1 0.8654 0.7309 0.5737
Zn1 0.7095 0.4190 0.1375
Ga2 0.1346 0.2691 0.4263
Zn2 0.2905 0.5810 0.8625
Zn3 0.0000 0.0000 0.0000
Rh2 0.5818 0.1636 0.7194


[6]
Computed, not measured: Tm4Tl3Pb after structural relaxation at the GGA-PBE level of DFT.

Computed properties:
- Crystal system: monoclinic
- Energy of formation: -311 meV per atom
- Symmetry: No. 12
- Electronic total energy: -3.8972 eV/atom

Cell: 4.9696 4.9698 9.3539 Å, 105.51 105.41 90.00°
Each line ends with the local moment (μB).
Fractional coordinates of all 8 atoms:
Tl1 0.7499 0.2501 0.4999  0.00
Tm1 0.8732 0.8737 0.7465  0.12
Tm2 0.6268 0.6263 0.2535  0.12
Tl2 0.0000 0.5000 0.0000  0.00
Pb1 0.5000 0.0000 0.0000  -0.01
Tm3 0.3732 0.3737 0.7465  0.12
Tm4 0.1268 0.1263 0.2535  0.12
Tl3 0.2501 0.7499 0.5001  0.00


[7]
Computed, not measured: HoEr2GaC after structural relaxation at the GGA-PBE level of DFT.

Computed properties:
- Crystal system: tetragonal
- Energy of formation: -487 meV per atom
- Symmetry: No. 123
- Electronic total energy: -5.6774 eV/atom

Cell: 4.8316 4.8049 4.8049 Å, 90.00 90.00 90.00°
Fractional coordinates of all 5 atoms:
Ga1 0.5000 0.5000 0.5000
Er1 0.0000 0.0000 0.5000
C1 0.0000 0.0000 0.0000
Er2 0.0000 0.5000 0.0000
Ho1 0.5000 0.0000 0.0000


[8]
Computed, not measured: HgB2SbW after structural relaxation at the GGA-PBE level of DFT.

Computed properties:
- E_form (uncorrected): 11.331 eV/f.u.
- Crystal system: tetragonal
- Symmetry: No. 123
- Electronic total energy: -3.8803 eV/atom

Cell: 4.4018 5.4275 4.4018 Å, 90.00 90.00 90.00°
Each line ends with the local moment (μB).
Fractional coordinates of all 5 atoms:
B1 0.5000 0.0000 0.0000  -0.04
Hg1 0.5000 0.5000 0.5000  0.00
Sb1 0.0000 0.0000 0.0000  -0.01
B2 0.0000 0.0000 0.5000  -0.02
W1 0.0000 0.5000 0.0000  1.87


[9]
Computed, not measured: Na8B3S8 after structural relaxation at the GGA-PBE level of DFT.

Computed properties:
- E_form (uncorrected): -15.207 eV/f.u.
- Crystal system: monoclinic
- Symmetry: No. 12
- Electronic total energy: -4.1480 eV/atom

Cell: 5.6285 8.1428 10.6855 Å, 107.32 105.27 90.00°
Each line ends with the local moment (μB).
Fractional coordinates of all 19 atoms:
Na1 0.3919 0.0755 0.7839  0.01
Na2 0.2046 0.8109 0.4092  0.00
S1 0.1744 0.4143 0.3488  0.00
Na3 0.9651 0.7631 0.9302  0.00
Na4 0.0349 0.2369 0.0698  0.00
B1 0.1861 0.2007 0.3723  0.01
S2 0.5229 0.3136 0.0459  0.01
B2 0.5000 0.5000 0.0000  0.22
B3 0.8139 0.7993 0.6277  0.01
S3 0.8888 0.9970 0.7776  0.00
Na5 0.6081 0.9245 0.2161  0.01
S4 0.2724 0.1790 0.5448  0.00
S5 0.4771 0.6864 0.9541  0.01
S6 0.1112 0.0030 0.2224  0.00
S7 0.7276 0.8210 0.4552  0.00
S8 0.8256 0.5857 0.6512  0.00
Na6 0.7954 0.1891 0.5908  0.00
Na7 0.3258 0.5326 0.6515  0.00
Na8 0.6742 0.4674 0.3485  0.00


[10]
Computed, not measured: Sr3Cu2PtO6 after structural relaxation at the GGA-PBE level of DFT.

Computed properties:
- E_form (uncorrected): -17.121 eV/f.u.
- Crystal system: trigonal
- Symmetry: No. 164
- Electronic total energy: -5.5124 eV/atom

Cell: 5.7964 5.7964 6.3326 Å, 90.00 90.00 120.00°
Fractional coordinates of all 12 atoms:
Pt1 0.0000 0.0000 0.5000
Sr1 0.6667 0.3333 0.3766
O1 0.1663 0.3326 0.3076
Sr2 0.3333 0.6667 0.6234
O2 0.8337 0.1663 0.6924
Cu1 0.6667 0.3333 0.8478
O3 0.3326 0.1663 0.6924
O4 0.6674 0.8337 0.3076
Cu2 0.3333 0.6667 0.1522
Sr3 0.0000 0.0000 0.0000
O5 0.8337 0.6674 0.6924
O6 0.1663 0.8337 0.3076


[11]
Computed, not measured: Ho5Tm12Sc2 after structural relaxation at the GGA-PBE level of DFT.

Computed properties:
- Crystal system: monoclinic
- Energy of formation: 123 meV per atom
- Symmetry: No. 12
- Electronic total energy: -4.5725 eV/atom

Cell: 9.0642 8.8373 8.4025 Å, 91.83 90.00 120.85°
Fractional coordinates of all 19 atoms:
Tm1 0.1780 0.7409 0.3244
Tm2 0.6720 0.7060 0.7637
Ho1 0.7686 0.5371 0.4306
Tm3 0.3280 0.2940 0.2363
Tm4 0.4440 0.8881 0.6662
Tm5 0.0736 0.1472 0.8742
Tm6 0.5629 0.7409 0.3244
Ho2 0.2954 0.5908 0.9787
Tm7 0.5560 0.1119 0.3338
Tm8 0.4371 0.2591 0.6756
Tm9 0.9659 0.2940 0.2363
Ho3 0.7046 0.4092 0.0213
Tm10 0.9264 0.8528 0.1258
Ho4 0.2314 0.4629 0.5694
Tm11 0.0341 0.7060 0.7637
Sc1 0.3313 0.0000 0.0000
Sc2 0.6687 0.0000 0.0000
Tm12 0.8220 0.2591 0.6756
Ho5 0.0000 0.0000 0.5000


[12]
Computed, not measured: BePC after structural relaxation at the GGA-PBE level of DFT.

Computed properties:
- Crystal system: triclinic
- Energy above the lowest structure with this stoichiometry: 0.000 eV per atom
- Energy of formation: 188 meV per atom
- Symmetry: No. 1
- Electronic total energy: -5.9317 eV/atom

Cell: 3.2085 4.6987 4.7153 Å, 91.94 109.73 109.19°
Fractional coordinates of all 6 atoms:
C1 0.8626 0.4354 0.9382
Be1 0.5252 0.1858 0.5806
P1 0.9790 0.3754 0.3318
Be2 0.8101 0.8730 0.4179
P2 0.4845 0.6734 0.9394
C2 0.3361 0.7735 0.5640


[13]
Computed, not measured: PmGa4Ag after structural relaxation at the GGA-PBE level of DFT.

Computed properties:
- Crystal system: cubic
- Energy above the lowest structure with this stoichiometry: 0.000 eV per atom
- Energy of formation: -224 meV per atom
- Symmetry: No. 216
- Electronic total energy: -3.5091 eV/atom

Cell: 5.5404 5.5404 5.5404 Å, 60.00 60.00 60.00°
Fractional coordinates of all 6 atoms:
Ga1 0.6249 0.1252 0.6249
Ga2 0.6249 0.6249 0.1252
Pm1 0.2500 0.2500 0.2500
Ga3 0.6249 0.6249 0.6249
Ag1 0.0000 0.0000 0.0000
Ga4 0.1252 0.6249 0.6249


[14]
Computed, not measured: AcPm2Nd2Y after structural relaxation at the GGA-PBE level of DFT.

Computed properties:
- Crystal system: orthorhombic
- Energy of formation: 58 meV per atom
- Symmetry: No. 51
- Electronic total energy: -4.8774 eV/atom

Cell: 5.8405 7.2912 10.0989 Å, 90.00 90.00 90.00°
Fractional coordinates of all 12 atoms:
Ac1 0.0000 0.5077 0.4999
Nd1 0.5000 0.5075 0.0001
Pm1 0.5000 0.2577 0.3262
Ac2 0.0000 0.0077 0.5001
Pm2 0.0000 0.2576 0.8389
Nd2 0.0000 0.7574 0.8340
Y1 0.5000 0.2578 0.6674
Pm3 0.5000 0.7577 0.6738
Nd3 0.5000 0.0075 0.9999
Y2 0.5000 0.7578 0.3326
Nd4 0.0000 0.2574 0.1660
Pm4 0.0000 0.7576 0.1611


[15]
Computed, not measured: BaLa3Ru after structural relaxation at the GGA-PBE level of DFT.

Computed properties:
- Crystal system: orthorhombic
- Energy above the lowest structure with this stoichiometry: 0.028 eV per atom
- Energy of formation: -119 meV per atom
- Symmetry: No. 74
- Electronic total energy: -5.3152 eV/atom

Cell: 8.0829 11.5443 8.0757 Å, 90.00 90.00 90.00°
Fractional coordinates of all 20 atoms:
Ru1 0.0000 0.0000 0.5000
La1 0.2499 0.0118 0.7499
Ru2 0.0000 0.5000 0.5000
Ba1 0.5001 0.7500 0.5500
La2 0.7501 0.9882 0.2501
La3 0.7499 0.4882 0.7501
Ru3 0.5000 0.5000 0.0000
La4 0.2499 0.4882 0.7499
Ba2 0.4999 0.2500 0.4500
La5 0.2501 0.5118 0.2499
Ba3 0.9999 0.2500 0.0500
La6 0.7501 0.5118 0.2501
La7 0.0001 0.7500 0.4726
La8 0.5001 0.7500 0.0274
La9 0.4999 0.2500 0.9726
Ru4 0.5000 0.0000 0.0000
La10 0.2501 0.9882 0.2499
La11 0.9999 0.2500 0.5274
La12 0.7499 0.0118 0.7501
Ba4 0.0001 0.7500 0.9500


[16]
Computed, not measured: Na2Ca2Mg after structural relaxation at the GGA-PBE level of DFT.

Computed properties:
- Crystal system: tetragonal
- Energy above the lowest structure with this stoichiometry: 0.003 eV per atom
- Energy of formation: 133 meV per atom
- Symmetry: No. 127
- Electronic total energy: -1.5140 eV/atom

Cell: 8.1222 8.1222 5.3836 Å, 90.00 90.00 90.00°
Fractional coordinates of all 10 atoms:
Mg1 0.5000 0.5000 0.0000
Na1 0.3691 0.8691 0.0000
Ca1 0.1812 0.6812 0.5000
Ca2 0.3188 0.1812 0.5000
Na2 0.1309 0.3691 0.0000
Na3 0.8691 0.6309 0.0000
Ca3 0.6812 0.8188 0.5000
Mg2 0.0000 0.0000 0.0000
Ca4 0.8188 0.3188 0.5000
Na4 0.6309 0.1309 0.0000


[17]
Computed, not measured: ZnAsPb2 after structural relaxation at the GGA-PBE level of DFT.

Computed properties:
- Crystal system: tetragonal
- Energy above the lowest structure with this stoichiometry: 0.151 eV per atom
- Energy of formation: 182 meV per atom
- Symmetry: No. 122
- Electronic total energy: -3.1530 eV/atom

Cell: 6.6009 6.6009 7.6922 Å, 64.59 64.59 90.00°
Fractional coordinates of all 8 atoms:
Pb1 0.1302 0.6250 0.2500
Pb2 0.3750 0.3802 0.7500
Zn1 0.5000 0.5000 0.0000
Pb3 0.8750 0.8698 0.7500
Zn2 0.2500 0.7500 0.5000
Pb4 0.6198 0.1250 0.2500
As1 0.7500 0.2500 0.5000
As2 0.0000 0.0000 0.0000


[18]
Computed, not measured: KCd2P2 after structural relaxation at the GGA-PBE level of DFT.

Computed properties:
- Crystal system: tetragonal
- Energy above the lowest structure with this stoichiometry: 0.000 eV per atom
- Energy of formation: -141 meV per atom
- Symmetry: No. 139
- Electronic total energy: -2.8910 eV/atom

Cell: 4.4851 4.4851 6.7017 Å, 70.45 70.45 90.00°
Fractional coordinates of all 5 atoms:
P1 0.3828 0.3828 0.2343
P2 0.6172 0.6172 0.7657
K1 0.0000 0.0000 0.0000
Cd1 0.2500 0.7500 0.5000
Cd2 0.7500 0.2500 0.5000


[19]
Computed, not measured: PmEuGaPd after structural relaxation at the GGA-PBE level of DFT.

Computed properties:
- Crystal system: cubic
- Energy of formation: -559 meV per atom
- Symmetry: No. 216
- Electronic total energy: -6.3702 eV/atom

Cell: 5.1776 5.1776 5.1776 Å, 60.00 60.00 60.00°
Each line ends with the local moment (μB).
Fractional coordinates of all 4 atoms:
Eu1 0.0000 0.0000 0.0000  6.76
Ga1 0.2500 0.2500 0.2500  -0.01
Pm1 0.5000 0.5000 0.5000  -0.01
Pd1 0.7500 0.7500 0.7500  -0.02


[20]
Computed, not measured: KCoAg2Mo after structural relaxation at the GGA-PBE level of DFT.

Computed properties:
- Crystal system: tetragonal
- Energy of formation: 1579 meV per atom
- Symmetry: No. 123
- Electronic total energy: -3.3679 eV/atom

Cell: 4.9519 5.0572 4.9519 Å, 90.00 90.00 90.00°
Each line ends with the local moment (μB).
Fractional coordinates of all 5 atoms:
K1 0.0000 0.5000 0.0000  0.02
Mo1 0.5000 0.5000 0.5000  3.67
Co1 0.0000 0.0000 0.0000  1.66
Ag1 0.5000 0.0000 0.0000  0.00
Ag2 0.0000 0.0000 0.5000  0.03


[21]
Computed, not measured: ZrNb4Ir5 after structural relaxation at the GGA-PBE level of DFT.

Computed properties:
- Crystal system: tetragonal
- Energy of formation: -543 meV per atom
- Symmetry: No. 123
- Electronic total energy: -9.8563 eV/atom

Cell: 2.9176 2.9176 19.3355 Å, 90.00 90.00 90.00°
Fractional coordinates of all 10 atoms:
Ir1 0.5000 0.5000 0.6990
Nb1 0.0000 0.0000 0.7983
Ir2 0.5000 0.5000 0.1047
Nb2 0.0000 0.0000 0.5995
Ir3 0.5000 0.5000 0.8953
Nb3 0.0000 0.0000 0.2017
Ir4 0.5000 0.5000 0.5000
Ir5 0.5000 0.5000 0.3010
Nb4 0.0000 0.0000 0.4005
Zr1 0.0000 0.0000 0.0000


[22]
Computed, not measured: Sm6Cu5Ru after structural relaxation at the GGA-PBE level of DFT.

Computed properties:
- Crystal system: orthorhombic
- Energy of formation: -201 meV per atom
- Symmetry: No. 65
- Electronic total energy: -5.0399 eV/atom

Cell: 5.0090 7.0639 7.9017 Å, 90.00 108.46 90.00°
Fractional coordinates of all 12 atoms:
Sm1 0.8361 0.2468 0.6734
Cu1 0.3293 0.0000 0.6586
Sm2 0.1639 0.2468 0.3267
Cu2 0.0000 0.5000 0.0000
Sm3 0.8361 0.7532 0.6733
Cu3 0.6707 0.0000 0.3414
Sm4 0.5000 0.7567 0.0000
Ru1 0.0000 0.0000 0.0000
Sm5 0.1639 0.7532 0.3266
Cu4 0.6650 0.5000 0.3284
Sm6 0.5000 0.2433 0.0000
Cu5 0.3350 0.5000 0.6716